Record 1
VASP calculation (PBE) on a geometry-optimized BaYFe structure.

Properties
Formation energy in meV/atom: 556.5
Energy above the most stable polymorph in this dataset in eV/atom: 0.155
Spin magnetization in μB/f.u.: 1.031
Electronic total energy in eV/atom: -5.06

Structure (POSCAR):
```
BaYFe
1.0
4.039 0.000 0.000
-2.019 3.498 0.000
0.000 0.000 6.861
Ba Fe Y
1 1 1
direct
0.000 0.000 0.069
0.667 0.333 0.358
0.333 0.667 0.573
```



Record 2
VASP calculation (PBE) on a geometry-optimized KLiIr structure.

Properties
Formation energy in meV/atom: 1011.1
Energy above the most stable polymorph in this dataset in eV/atom: 0.680
Spin magnetization in μB/f.u.: 1.001
Electronic total energy in eV/atom: -2.95

Structure (POSCAR):
```
KLiIr
1.0
4.710 0.000 0.000
2.355 4.079 0.000
2.355 1.360 3.845
Ir Li K
1 1 1
direct
0.000 0.000 0.000
0.750 0.750 0.750
0.500 0.500 0.500
```



Record 3
VASP calculation (PBE) on a geometry-optimized Ba2GeAsPd6 structure.

Properties
Formation energy in meV/atom: -641.6
Spin magnetization in μB/f.u.: 0.000
Electronic total energy in eV/atom: -5.07

Structure (POSCAR):
```
Ba2GeAsPd6
1.0
6.752 0.000 -0.011
-0.003 6.874 0.073
3.367 3.476 4.851
Pd Ge Ba As
6 1 2 1
direct
0.250 0.339 0.501
0.750 0.661 0.499
0.662 0.751 0.088
0.750 0.249 0.913
0.338 0.249 0.912
0.250 0.751 0.087
0.500 0.500 0.000
0.215 0.784 0.569
0.785 0.216 0.431
0.000 0.000 0.000
```



Record 4
VASP calculation (PBE) on a geometry-optimized AlTl2SiAg structure.

Properties
Energy above the most stable polymorph in this dataset in eV/atom: 0.189
Spin magnetization in μB/f.u.: 0.000
Electronic total energy in eV/atom: -2.60

Structure (POSCAR):
```
AlTl2SiAg
1.0
-2.133 4.755 -1.661
-4.346 -1.347 1.727
1.227 2.240 4.837
Tl Al Si Ag
2 1 1 1
direct
0.000 0.000 0.500
0.500 0.000 0.000
0.000 0.500 0.000
0.500 0.500 0.500
0.000 0.000 0.000
```



Record 5
VASP calculation (PBE) on a geometry-optimized Pm5SmGe3 structure.

Properties
Formation energy in meV/atom: -523.5
Spin magnetization in μB/f.u.: 2.417
Electronic total energy in eV/atom: -5.23

Structure (POSCAR):
```
Pm5SmGe3
1.0
6.532 0.000 0.000
0.000 9.170 0.000
0.000 -4.585 7.940
Ge Pm Sm
6 10 2
direct
0.250 0.000 0.333
0.750 0.667 0.000
0.750 0.333 0.333
0.250 0.667 0.667
0.250 0.333 0.000
0.750 0.000 0.667
0.250 0.667 0.000
0.000 0.333 0.667
0.500 0.667 0.333
0.250 0.333 0.333
0.750 0.333 0.000
0.500 0.333 0.667
0.750 0.000 0.333
0.750 0.667 0.667
0.250 0.000 0.667
0.000 0.667 0.333
0.000 0.000 0.000
0.500 0.000 0.000
```



Record 6
VASP calculation (PBE) on a geometry-optimized KTlSb2 structure.

Properties
Energy above the most stable polymorph in this dataset in eV/atom: 0.018
Spin magnetization in μB/f.u.: 0.000
Electronic total energy in eV/atom: -3.12

Structure (POSCAR):
```
KTlSb2
1.0
-2.726 -5.595 -1.252
-0.137 -6.009 2.042
-4.945 -0.571 3.814
Tl Sb K
1 2 1
direct
0.750 0.750 0.750
0.498 0.498 0.593
0.002 0.002 0.907
0.250 0.250 0.250
```



Record 7
VASP calculation (PBE) on a geometry-optimized Ca2MoAu structure.

Properties
Formation energy in meV/atom: 243.0
Energy above the most stable polymorph in this dataset in eV/atom: 0.043
Spin magnetization in μB/f.u.: 2.623
Electronic total energy in eV/atom: -4.28

Structure (POSCAR):
```
Ca2MoAu
1.0
-2.830 -2.378 0.531
2.268 -2.868 -0.760
1.632 -0.465 6.619
Ca Au Mo
2 1 1
direct
0.000 0.000 0.998
0.000 0.000 0.502
0.500 0.500 0.750
0.500 0.500 0.250
```



Record 8
VASP calculation (PBE) on a geometry-optimized YBe2In structure.

Properties
Formation energy in meV/atom: 144.6
Spin magnetization in μB/f.u.: 0.000
Electronic total energy in eV/atom: -4.02

Structure (POSCAR):
```
YBe2In
1.0
5.864 0.002 0.001
3.284 4.858 -0.001
-4.530 -2.512 2.748
Y In Be
1 1 2
direct
0.230 0.730 0.500
0.490 0.490 0.000
0.844 0.344 0.500
0.936 0.936 0.000
```



Record 9
VASP calculation (PBE) on a geometry-optimized Pm3Th2NpP6 structure.

Properties
Formation energy in meV/atom: -1450.9
Spin magnetization in μB/f.u.: 4.003
Electronic total energy in eV/atom: -7.66

Structure (POSCAR):
```
Pm3Th2NpP6
1.0
-0.527 -4.076 0.137
3.176 -0.156 7.582
-8.507 3.221 1.376
Pm P Np Th
3 6 1 2
direct
0.167 0.833 0.335
0.833 0.167 0.665
0.500 0.500 0.000
0.999 0.240 0.999
0.332 0.418 0.665
0.336 0.918 0.673
0.664 0.082 0.327
0.001 0.760 0.001
0.668 0.582 0.335
0.500 0.000 0.000
0.165 0.330 0.330
0.835 0.670 0.670
```



Record 10
VASP calculation (PBE) on a geometry-optimized YCuP2 structure.

Properties
Formation energy in meV/atom: -870.2
Spin magnetization in μB/f.u.: 0.000
Electronic total energy in eV/atom: -6.22

Structure (POSCAR):
```
YCuP2
1.0
-3.439 0.630 1.291
-1.365 -0.387 -3.446
-1.177 -9.581 1.543
P Cu Y
4 2 2
direct
0.250 0.750 0.345
0.750 0.750 0.000
0.250 0.250 0.000
0.750 0.250 0.655
0.750 0.750 0.500
0.250 0.250 0.500
0.250 0.750 0.769
0.750 0.250 0.231
```



Record 11
VASP calculation (PBE) on a geometry-optimized PaTiSi2Ni2 structure.

Properties
Spin magnetization in μB/f.u.: 0.001
Electronic total energy in eV/atom: -7.37

Structure (POSCAR):
```
PaTiSi2Ni2
1.0
-3.227 -0.852 2.234
0.876 -2.256 -3.206
3.703 -3.995 3.823
Ni Si Pa Ti
2 2 1 1
direct
0.333 0.667 0.324
0.667 0.333 0.676
0.333 0.667 0.719
0.667 0.333 0.281
0.000 0.000 0.000
0.000 0.000 0.500
```



Record 12
VASP calculation (PBE) on a geometry-optimized KAl structure.

Properties
Formation energy in meV/atom: 259.2
Energy above the most stable polymorph in this dataset in eV/atom: 0.142
Spin magnetization in μB/f.u.: 0.000
Electronic total energy in eV/atom: -2.16

Structure (POSCAR):
```
KAl
1.0
12.694 0.000 0.000
-6.347 10.993 0.000
0.000 0.000 4.661
K Al
6 6
direct
0.783 0.565 0.250
0.565 0.783 0.750
0.783 0.217 0.250
0.217 0.435 0.750
0.435 0.217 0.250
0.217 0.783 0.750
0.478 0.522 0.250
0.522 0.478 0.750
0.478 0.955 0.250
0.522 0.045 0.750
0.045 0.522 0.250
0.955 0.478 0.750
```



- Look up the electronic total energy of the fifth one.
  -5.23 eV/atom



- Which value of spin magnetization does entry 9 give?
  4.003 μB/f.u.



- What is the spin magnetization in the sixth record?
  0.000 μB/f.u.